--- 1 ---
## Hf2TaMn (PBE-GGA)

Data for crystalline Hf2TaMn at its relaxed geometry. Values from VASP.

```
&SYSTEM
  ibrav = 0, nat = 4, ntyp = 3
/
ATOMIC_SPECIES
Mn 54.94 Mn.upf
Hf 178.49 Hf.upf
Ta 180.95 Ta.upf
CELL_PARAMETERS angstrom
0.0000 3.3073 3.3073
3.3073 0.0000 3.3073
3.3073 3.3073 0.0000
ATOMIC_POSITIONS crystal
Mn 0.0000 0.0000 0.0000
Hf 0.2500 0.2500 0.2500
Hf 0.7500 0.7500 0.7500
Ta 0.5000 0.5000 0.5000
```

Output
- density of states at the Fermi level (states/eV per atom) = 2.08


--- 2 ---
## Hf2TaMn (PBE-GGA)

Data for crystalline Hf2TaMn at its relaxed geometry. Values from VASP.

```
&SYSTEM
  ibrav = 0, nat = 4, ntyp = 3
/
ATOMIC_SPECIES
Mn 54.94 Mn.upf
Hf 178.49 Hf.upf
Ta 180.95 Ta.upf
CELL_PARAMETERS angstrom
3.1594 0.0000 0.0000
0.0000 3.1594 0.0000
0.0000 0.0000 7.2150
ATOMIC_POSITIONS crystal
Mn 0.5000 0.5000 0.0000
Hf 0.0000 0.0000 0.7857
Hf 0.0000 0.0000 0.2143
Ta 0.5000 0.5000 0.5000
```

Output
- density of states at the Fermi level (states/eV per atom) = 1.24


It is 2 that is the most stable of them.


--- 1 ---
## HfTa2Mn (PBE-GGA)

Data for crystalline HfTa2Mn at its relaxed geometry. Values from VASP.

```
&SYSTEM
  ibrav = 0, nat = 8, ntyp = 3
/
ATOMIC_SPECIES
Mn 54.94 Mn.upf
Hf 178.49 Hf.upf
Ta 180.95 Ta.upf
CELL_PARAMETERS angstrom
-0.8829 0.5117 3.7337
-2.7797 -2.6778 -0.2903
4.8034 -8.2468 4.2725
ATOMIC_POSITIONS crystal
Mn 0.5000 0.5000 0.0000
Mn 0.2500 0.7500 0.5000
Hf 0.0000 0.0000 0.0000
Hf 0.7500 0.2500 0.5000
Ta 0.6208 0.1250 0.2500
Ta 0.1292 0.6250 0.2500
Ta 0.3750 0.3792 0.7500
Ta 0.8750 0.8708 0.7500
```

Output
- density of states at the Fermi level (states/eV per atom) = 1.07


--- 2 ---
## HfTa2Mn (PBE-GGA)

Data for crystalline HfTa2Mn at its relaxed geometry. Values from VASP.

```
&SYSTEM
  ibrav = 0, nat = 4, ntyp = 3
/
ATOMIC_SPECIES
Mn 54.94 Mn.upf
Hf 178.49 Hf.upf
Ta 180.95 Ta.upf
CELL_PARAMETERS angstrom
0.0000 3.2314 3.2314
3.2314 0.0000 3.2314
3.2314 3.2314 0.0000
ATOMIC_POSITIONS crystal
Mn 0.0000 0.0000 0.0000
Hf 0.5000 0.5000 0.5000
Ta 0.2500 0.2500 0.2500
Ta 0.7500 0.7500 0.7500
```

Output
- density of states at the Fermi level (states/eV per atom) = 1.30


It is 2 that is the most stable of them.


--- 1 ---
## Hf3TaMn (PBE-GGA)

Data for crystalline Hf3TaMn at its relaxed geometry. Values from VASP.

```
&SYSTEM
  ibrav = 0, nat = 5, ntyp = 3
/
ATOMIC_SPECIES
Mn 54.94 Mn.upf
Hf 178.49 Hf.upf
Ta 180.95 Ta.upf
CELL_PARAMETERS angstrom
4.7334 0.0000 0.0000
0.0000 4.7334 0.0000
0.0000 0.0000 4.7334
ATOMIC_POSITIONS crystal
Mn 0.0000 0.0000 0.0000
Hf 0.0000 0.5000 0.0000
Hf 0.0000 0.0000 0.5000
Hf 0.5000 0.0000 0.0000
Ta 0.5000 0.5000 0.5000
```

Output
- density of states at the Fermi level (states/eV per atom) = 1.23


--- 2 ---
## Hf3TaMn (PBE-GGA)

Data for crystalline Hf3TaMn at its relaxed geometry. Values from VASP.

```
&SYSTEM
  ibrav = 0, nat = 5, ntyp = 3
/
ATOMIC_SPECIES
Mn 54.94 Mn.upf
Hf 178.49 Hf.upf
Ta 180.95 Ta.upf
CELL_PARAMETERS angstrom
-0.5252 -3.0448 -3.9510
4.0529 2.0555 -2.1227
2.9078 -3.4149 2.2451
ATOMIC_POSITIONS crystal
Mn 0.5000 0.5000 0.5000
Hf 0.0000 0.5000 0.0000
Hf 0.0000 0.0000 0.5000
Hf 0.5000 0.0000 0.0000
Ta 0.0000 0.0000 0.0000
```

Output
- density of states at the Fermi level (states/eV per atom) = 1.88


It is 1 that is the most stable of them.


--- 1 ---
## Hf3MnTc (PBE-GGA)

Data for crystalline Hf3MnTc at its relaxed geometry. Values from VASP.

```
&SYSTEM
  ibrav = 0, nat = 5, ntyp = 3
/
ATOMIC_SPECIES
Mn 54.94 Mn.upf
Hf 178.49 Hf.upf
Tc 98.00 Tc.upf
CELL_PARAMETERS angstrom
4.9100 0.0000 0.0000
0.0000 4.9100 0.0000
0.0000 0.0000 4.9100
ATOMIC_POSITIONS crystal
Mn 0.5000 0.5000 0.5000
Hf 0.0000 0.5000 0.0000
Hf 0.0000 0.0000 0.5000
Hf 0.5000 0.0000 0.0000
Tc 0.0000 0.0000 0.0000
```

Output
- density of states at the Fermi level (states/eV per atom) = 2.32


--- 2 ---
## Hf3MnTc (PBE-GGA)

Data for crystalline Hf3MnTc at its relaxed geometry. Values from VASP.

```
&SYSTEM
  ibrav = 0, nat = 5, ntyp = 3
/
ATOMIC_SPECIES
Mn 54.94 Mn.upf
Hf 178.49 Hf.upf
Tc 98.00 Tc.upf
CELL_PARAMETERS angstrom
-3.9596 0.6253 2.4042
-0.8759 -4.5847 -0.2501
2.3247 -0.6624 4.0008
ATOMIC_POSITIONS crystal
Mn 0.0000 0.0000 0.0000
Hf 0.0000 0.5000 0.0000
Hf 0.0000 0.0000 0.5000
Hf 0.5000 0.0000 0.0000
Tc 0.5000 0.5000 0.5000
```

Output
- density of states at the Fermi level (states/eV per atom) = 1.10


It is 2 that is the most stable of them.


--- 1 ---
## HfMnTc (PBE-GGA)

Data for crystalline HfMnTc at its relaxed geometry. Values from VASP.

```
&SYSTEM
  ibrav = 0, nat = 18, ntyp = 3
/
ATOMIC_SPECIES
Hf 178.49 Hf.upf
Tc 98.00 Tc.upf
Mn 54.94 Mn.upf
CELL_PARAMETERS angstrom
5.1626 0.0000 0.0000
2.5813 4.4709 0.0000
2.5813 1.4903 12.3216
ATOMIC_POSITIONS crystal
Hf 0.7326 0.7326 0.8021
Hf 0.2674 0.2674 0.1979
Hf 0.0397 0.0397 0.8810
Hf 0.9603 0.9603 0.1190
Hf 0.1816 0.1816 0.4551
Hf 0.8184 0.8184 0.5449
Tc 0.2193 0.7263 0.3281
Tc 0.7263 0.2193 0.3281
Tc 0.7263 0.7263 0.3281
Tc 0.7807 0.2737 0.6719
Tc 0.2737 0.7807 0.6719
Tc 0.2737 0.2737 0.6719
Mn 0.3836 0.3836 0.8492
Mn 0.6164 0.6164 0.1508
Mn 0.0000 0.5000 0.0000
Mn 0.5000 0.0000 0.0000
Mn 0.5000 0.5000 0.0000
Mn 0.5000 0.5000 0.5000
```

Output
- density of states at the Fermi level (states/eV per atom) = 0.94


--- 2 ---
## HfMnTc (PBE-GGA)

Data for crystalline HfMnTc at its relaxed geometry. Values from VASP.

```
&SYSTEM
  ibrav = 0, nat = 3, ntyp = 3
/
ATOMIC_SPECIES
Mn 54.94 Mn.upf
Hf 178.49 Hf.upf
Tc 98.00 Tc.upf
CELL_PARAMETERS angstrom
3.1268 0.0000 0.0000
0.0000 3.1268 0.0000
-1.5634 -1.5634 4.7842
ATOMIC_POSITIONS crystal
Mn 0.3213 0.3213 0.6427
Hf 0.9984 0.9984 0.9968
Tc 0.6802 0.6802 0.3605
```

Output
- density of states at the Fermi level (states/eV per atom) = 1.06


--- 3 ---
## HfMnTc (PBE-GGA)

Data for crystalline HfMnTc at its relaxed geometry. Values from VASP.

```
&SYSTEM
  ibrav = 0, nat = 6, ntyp = 3
/
ATOMIC_SPECIES
Hf 178.49 Hf.upf
Mn 54.94 Mn.upf
Tc 98.00 Tc.upf
CELL_PARAMETERS angstrom
5.1177 -0.0446 -0.0514
-2.5257 4.4513 0.0514
-2.5252 -1.4803 4.1985
ATOMIC_POSITIONS crystal
Hf 0.2500 0.1252 0.8752
Hf 0.7500 0.8748 0.1248
Mn 0.0000 0.5000 0.5000
Mn 0.5000 0.0000 0.5000
Tc 0.5000 0.5000 0.5000
Tc 0.0000 0.5000 0.0000
```

Output
- density of states at the Fermi level (states/eV per atom) = 0.83


It is 3 that is the most stable of them.


--- 1 ---
## HfMnTe2 (PBE-GGA)

Data for crystalline HfMnTe2 at its relaxed geometry. Values from VASP.

```
&SYSTEM
  ibrav = 0, nat = 4, ntyp = 3
/
ATOMIC_SPECIES
Te 127.60 Te.upf
Hf 178.49 Hf.upf
Mn 54.94 Mn.upf
CELL_PARAMETERS angstrom
-2.7573 6.9451 5.7291
-0.3330 5.5696 7.5848
0.4358 7.8197 5.2270
ATOMIC_POSITIONS crystal
Te 0.8955 0.8955 0.8955
Te 0.1045 0.1045 0.1045
Hf 0.0000 0.0000 0.0000
Mn 0.5000 0.5000 0.5000
```

Output
- density of states at the Fermi level (states/eV per atom) = 1.28


--- 2 ---
## HfMnTe2 (PBE-GGA)

Data for crystalline HfMnTe2 at its relaxed geometry. Values from VASP.

```
&SYSTEM
  ibrav = 0, nat = 4, ntyp = 3
/
ATOMIC_SPECIES
Te 127.60 Te.upf
Hf 178.49 Hf.upf
Mn 54.94 Mn.upf
CELL_PARAMETERS angstrom
0.0000 3.5184 3.5184
3.5184 0.0000 3.5184
3.5184 3.5184 0.0000
ATOMIC_POSITIONS crystal
Te 0.2500 0.2500 0.2500
Te 0.7500 0.7500 0.7500
Hf 0.5000 0.5000 0.5000
Mn 0.0000 0.0000 0.0000
```

Output
- density of states at the Fermi level (states/eV per atom) = 0.25


--- 3 ---
## HfMnTe2 (PBE-GGA)

Data for crystalline HfMnTe2 at its relaxed geometry. Values from VASP.

```
&SYSTEM
  ibrav = 0, nat = 8, ntyp = 3
/
ATOMIC_SPECIES
Te 127.60 Te.upf
Hf 178.49 Hf.upf
Mn 54.94 Mn.upf
CELL_PARAMETERS angstrom
-1.1963 3.2930 4.8770
2.2981 -4.3201 3.4807
6.2279 2.1690 3.7601
ATOMIC_POSITIONS crystal
Te 0.5810 0.1250 0.2500
Te 0.1690 0.6250 0.2500
Te 0.3750 0.4190 0.7500
Te 0.8750 0.8310 0.7500
Hf 0.0000 0.0000 0.0000
Hf 0.7500 0.2500 0.5000
Mn 0.5000 0.5000 0.0000
Mn 0.2500 0.7500 0.5000
```

Output
- density of states at the Fermi level (states/eV per atom) = 1.62


It is 2 that is the most stable of them.